# Tm3Ni2Rh7, optimized geometry, DFT GGA-PBE
# DOS(E_F) = 31.00 states/eV per cell
# energy of formation from the pure elements = -0.580 eV/atom
data_Tm3Ni2Rh7
_chemical_formula_sum 'Tm9 Ni6 Rh21'
_space_group_name_H-M_alt 'R -3 m'
_space_group_IT_number 166
_space_group_name_Hall '-R 3 2"'
_cell_length_a 5.2266
_cell_length_b 5.2266
_cell_length_c 25.3419
_cell_angle_alpha 90.00
_cell_angle_beta 90.00
_cell_angle_gamma 120.00
loop_
_atom_site_label
_atom_site_fract_x
_atom_site_fract_y
_atom_site_fract_z
_atom_site_occupancy
Tm1 0.0000 0.0000 0.0000 1
Tm2 0.0000 0.0000 0.1396 1
Ni1 0.0000 0.0000 0.3334 1
Rh1 0.0000 0.0000 0.5000 1
Rh2 0.0024 0.5012 0.9196 1

=====

# H2PtAu, optimized geometry, DFT GGA-PBE
# uncorrected energy = -3.852 eV per atom
# DOS(E_F) = 3.03 states/eV per cell
data_H2PtAu
_chemical_formula_sum 'H6 Pt3 Au3'
_space_group_name_H-M_alt 'R -3 m'
_space_group_IT_number 166
_space_group_name_Hall '-R 3 2"'
_cell_length_a 2.8384
_cell_length_b 2.8384
_cell_length_c 20.5292
_cell_angle_alpha 90.00
_cell_angle_beta 90.00
_cell_angle_gamma 120.00
loop_
_atom_site_label
_atom_site_fract_x
_atom_site_fract_y
_atom_site_fract_z
_atom_site_occupancy
H1 0.0000 0.0000 0.1223 1
Pt1 0.0000 0.0000 0.5000 1
Au1 0.0000 0.0000 0.0000 1

=====

# ReH2Ru2, optimized geometry, DFT GGA-PBE
# uncorrected energy = -7.457 eV per atom
# DOS(E_F) = 8.32 states/eV per cell
data_ReH2Ru2
_chemical_formula_sum 'Re2 H4 Ru4'
_space_group_name_H-M_alt 'I 4/m m m'
_space_group_IT_number 139
_space_group_name_Hall '-I 4 2'
_cell_length_a 2.843
_cell_length_b 2.843
_cell_length_c 12.077
_cell_angle_alpha 90.00
_cell_angle_beta 90.00
_cell_angle_gamma 90.00
loop_
_atom_site_label
_atom_site_fract_x
_atom_site_fract_y
_atom_site_fract_z
_atom_site_occupancy
Re1 0.000 0.000 0.000 1
H1 0.000 0.500 0.250 1
Ru1 0.000 0.000 0.353 1

=====

# CdIr4W, optimized geometry, DFT GGA-PBE
# DOS(E_F) = 19.60 states/eV per cell
# energy of formation from the pure elements = 0.351 eV/atom
data_CdIr4W
_chemical_formula_sum 'Cd4 Ir16 W4'
_space_group_name_H-M_alt 'F -4 3 m'
_space_group_IT_number 216
_space_group_name_Hall 'F -4 2 3'
_cell_length_a 7.329
_cell_length_b 7.329
_cell_length_c 7.329
_cell_angle_alpha 90.00
_cell_angle_beta 90.00
_cell_angle_gamma 90.00
loop_
_atom_site_label
_atom_site_fract_x
_atom_site_fract_y
_atom_site_fract_z
_atom_site_occupancy
Cd1 0.000 0.000 0.000 1
Ir1 0.125 0.125 0.375 1
W1 0.250 0.250 0.750 1